1.
VASP calculation (PBE-GGA) on a relaxed YCd2Hg2 crystal.

Cell and atoms, written as CIF:
```
data_YCd2Hg2
_chemical_formula_sum 'Y1 Cd2 Hg2'
_space_group_name_H-M_alt 'P 1'
_space_group_IT_number 1
_space_group_name_Hall 'P 1'
_cell_length_a 4.304
_cell_length_b 4.304
_cell_length_c 7.333
_cell_angle_alpha 72.94
_cell_angle_beta 72.94
_cell_angle_gamma 90.00
loop_
_atom_site_label
_atom_site_type_symbol
_atom_site_fract_x
_atom_site_fract_y
_atom_site_fract_z
Hg1 Hg 0.396 0.396 0.207
Cd1 Cd 0.250 0.750 0.500
Y1 Y 0.000 0.000 0.000
Cd2 Cd 0.750 0.250 0.500
Hg2 Hg 0.604 0.604 0.793
```

DOS(E_F) = 0.530 states/eV/atom
relative energy among the computed polymorphs = 91 meV/atom
E_form = -0.178 eV/atom
calculated total energy = -9.79 eV per formula unit

2.
VASP calculation (PBE-GGA) on a relaxed YCdHg4 crystal.

Cell and atoms, written as CIF:
```
data_YCdHg4
_chemical_formula_sum 'Y1 Cd1 Hg4'
_space_group_name_H-M_alt 'P 1'
_space_group_IT_number 1
_space_group_name_Hall 'P 1'
_cell_length_a 5.976
_cell_length_b 5.976
_cell_length_c 5.976
_cell_angle_alpha 60.00
_cell_angle_beta 60.00
_cell_angle_gamma 60.00
loop_
_atom_site_label
_atom_site_type_symbol
_atom_site_fract_x
_atom_site_fract_y
_atom_site_fract_z
Y1 Y 0.750 0.750 0.750
Hg1 Hg 0.375 0.375 0.375
Cd1 Cd 0.000 0.000 0.000
Hg2 Hg 0.375 0.375 0.875
Hg3 Hg 0.875 0.375 0.375
Hg4 Hg 0.375 0.875 0.375
```

DOS(E_F) = 0.536 states/eV/atom
relative energy among the computed polymorphs = 184 meV/atom
E_form = -0.025 eV/atom
calculated total energy = -8.74 eV per formula unit

3.
VASP calculation (PBE-GGA) on a relaxed Y3CdHg12 crystal.

Cell and atoms, written as CIF:
```
data_Y3CdHg12
_chemical_formula_sum 'Y3 Cd1 Hg12'
_space_group_name_H-M_alt 'P 1'
_space_group_IT_number 1
_space_group_name_Hall 'P 1'
_cell_length_a 4.669
_cell_length_b 4.669
_cell_length_c 17.866
_cell_angle_alpha 90.00
_cell_angle_beta 90.00
_cell_angle_gamma 90.00
loop_
_atom_site_label
_atom_site_type_symbol
_atom_site_fract_x
_atom_site_fract_y
_atom_site_fract_z
Hg1 Hg 0.000 0.500 0.373
Cd1 Cd 0.000 0.000 0.000
Hg2 Hg 0.500 0.500 0.500
Hg3 Hg 0.000 0.500 0.878
Y1 Y 0.000 0.000 0.759
Hg4 Hg 0.500 0.500 0.000
Y2 Y 0.000 0.000 0.500
Hg5 Hg 0.000 0.500 0.122
Hg6 Hg 0.500 0.000 0.627
Hg7 Hg 0.000 0.500 0.627
Hg8 Hg 0.500 0.500 0.750
Y3 Y 0.000 0.000 0.241
Hg9 Hg 0.500 0.000 0.878
Hg10 Hg 0.500 0.000 0.122
Hg11 Hg 0.500 0.000 0.373
Hg12 Hg 0.500 0.500 0.250
```

DOS(E_F) = 0.684 states/eV/atom
E_form = -0.248 eV/atom
calculated total energy = -27.90 eV per formula unit

4.
VASP calculation (PBE-GGA) on a relaxed YCd2Hg2 crystal.

Cell and atoms, written as CIF:
```
data_YCd2Hg2
_chemical_formula_sum 'Y2 Cd4 Hg4'
_space_group_name_H-M_alt 'P 1'
_space_group_IT_number 1
_space_group_name_Hall 'P 1'
_cell_length_a 8.127
_cell_length_b 8.127
_cell_length_c 3.804
_cell_angle_alpha 90.00
_cell_angle_beta 90.00
_cell_angle_gamma 90.00
loop_
_atom_site_label
_atom_site_type_symbol
_atom_site_fract_x
_atom_site_fract_y
_atom_site_fract_z
Hg1 Hg 0.868 0.632 0.000
Cd1 Cd 0.830 0.330 0.500
Y1 Y 0.000 0.000 0.000
Y2 Y 0.500 0.500 0.000
Cd2 Cd 0.670 0.830 0.500
Hg2 Hg 0.132 0.368 0.000
Hg3 Hg 0.632 0.132 0.000
Cd3 Cd 0.170 0.670 0.500
Hg4 Hg 0.368 0.868 0.000
Cd4 Cd 0.330 0.170 0.500
```

DOS(E_F) = 0.687 states/eV/atom
relative energy among the computed polymorphs = 136 meV/atom
E_form = -0.133 eV/atom
calculated total energy = -9.56 eV per formula unit

5.
VASP calculation (PBE-GGA) on a relaxed YCdHg4 crystal.

Cell and atoms, written as CIF:
```
data_YCdHg4
_chemical_formula_sum 'Y2 Cd2 Hg8'
_space_group_name_H-M_alt 'P 1'
_space_group_IT_number 1
_space_group_name_Hall 'P 1'
_cell_length_a 7.826
_cell_length_b 5.101
_cell_length_c 8.660
_cell_angle_alpha 90.00
_cell_angle_beta 90.00
_cell_angle_gamma 57.02
loop_
_atom_site_label
_atom_site_type_symbol
_atom_site_fract_x
_atom_site_fract_y
_atom_site_fract_z
Hg1 Hg 0.244 0.535 0.918
Hg2 Hg 0.243 0.534 0.582
Cd1 Cd 0.500 0.250 0.250
Hg3 Hg 0.243 0.034 0.418
Y1 Y 0.000 0.750 0.250
Hg4 Hg 0.757 0.466 0.418
Y2 Y 0.000 0.250 0.750
Cd2 Cd 0.500 0.750 0.750
Hg5 Hg 0.757 0.966 0.582
Hg6 Hg 0.756 0.965 0.918
Hg7 Hg 0.756 0.465 0.082
Hg8 Hg 0.244 0.035 0.082
```

DOS(E_F) = 0.376 states/eV/atom
relative energy among the computed polymorphs = 0 meV/atom
E_form = -0.209 eV/atom
calculated total energy = -9.84 eV per formula unit

6.
VASP calculation (PBE-GGA) on a relaxed Y3Cd3Hg crystal.

Cell and atoms, written as CIF:
```
data_Y3Cd3Hg
_chemical_formula_sum 'Y3 Cd3 Hg1'
_space_group_name_H-M_alt 'P 1'
_space_group_IT_number 1
_space_group_name_Hall 'P 1'
_cell_length_a 4.900
_cell_length_b 3.582
_cell_length_c 10.796
_cell_angle_alpha 99.55
_cell_angle_beta 103.12
_cell_angle_gamma 90.00
loop_
_atom_site_label
_atom_site_type_symbol
_atom_site_fract_x
_atom_site_fract_y
_atom_site_fract_z
Cd1 Cd 0.145 0.645 0.289
Y1 Y 0.997 0.997 0.994
Hg1 Hg 0.433 0.433 0.865
Cd2 Cd 0.854 0.354 0.708
Y2 Y 0.700 0.200 0.400
Y3 Y 0.302 0.802 0.605
Cd3 Cd 0.569 0.569 0.138
```

DOS(E_F) = 1.026 states/eV/atom
E_form = -0.328 eV/atom
calculated total energy = -24.73 eV per formula unit

7.
VASP calculation (PBE-GGA) on a relaxed Y3CdHg crystal.

Cell and atoms, written as CIF:
```
data_Y3CdHg
_chemical_formula_sum 'Y3 Cd1 Hg1'
_space_group_name_H-M_alt 'P 1'
_space_group_IT_number 1
_space_group_name_Hall 'P 1'
_cell_length_a 5.638
_cell_length_b 5.638
_cell_length_c 5.638
_cell_angle_alpha 90.00
_cell_angle_beta 90.00
_cell_angle_gamma 90.00
loop_
_atom_site_label
_atom_site_type_symbol
_atom_site_fract_x
_atom_site_fract_y
_atom_site_fract_z
Cd1 Cd 0.500 0.500 0.500
Y1 Y 0.000 0.000 0.500
Hg1 Hg 0.000 0.000 0.000
Y2 Y 0.500 0.000 0.000
Y3 Y 0.000 0.500 0.000
```

DOS(E_F) = 1.659 states/eV/atom
relative energy among the computed polymorphs = 556 meV/atom
E_form = 0.229 eV/atom
calculated total energy = -19.46 eV per formula unit

8.
VASP calculation (PBE-GGA) on a relaxed YCd8Hg2 crystal.

Cell and atoms, written as CIF:
```
data_YCd8Hg2
_chemical_formula_sum 'Y1 Cd8 Hg2'
_space_group_name_H-M_alt 'P 1'
_space_group_IT_number 1
_space_group_name_Hall 'P 1'
_cell_length_a 5.030
_cell_length_b 8.055
_cell_length_c 8.504
_cell_angle_alpha 61.73
_cell_angle_beta 78.26
_cell_angle_gamma 64.54
loop_
_atom_site_label
_atom_site_type_symbol
_atom_site_fract_x
_atom_site_fract_y
_atom_site_fract_z
Hg1 Hg 0.000 0.685 0.630
Cd1 Cd 0.500 0.213 0.575
Cd2 Cd 0.500 0.787 0.425
Cd3 Cd 0.840 0.088 0.235
Y1 Y 0.500 0.000 0.000
Cd4 Cd 0.160 0.677 0.235
Cd5 Cd 0.160 0.912 0.765
Cd6 Cd 0.840 0.323 0.765
Cd7 Cd 0.695 0.584 0.000
Cd8 Cd 0.305 0.416 0.000
Hg2 Hg 0.000 0.315 0.370
```

DOS(E_F) = 0.408 states/eV/atom
E_form = -0.015 eV/atom
calculated total energy = -14.55 eV per formula unit